A geometry-optimized CsHoP structure. Source: the Alexandria database, functional GGA-PBE.

Calculated values
Symmetry   P3m1 (156)
Mass density   4.2 Mg/m³
M_tot   0.000 μB per atom
E_form   -0.528 eV/atom
Raw total energy   -4.14 eV per atom

Lattice parameters (Å, degrees): 4.304 4.304 8.036 90.00 90.00 120.00
Element x y z (fractional)
P: 0.333 0.667 0.601
Cs: 0.000 0.000 0.927
Ho: 0.667 0.333 0.472